1.
Material: Zr3TlH
Method: DFT, GGA-PBE
State: relaxed

a b c (Å): 5.878 5.878 8.959
angles (deg): 113.80 113.80 42.49
Element x y z (fractional)
Zr: 0.127 0.127 0.439
Zr: 0.369 0.369 0.304
Zr: 0.372 0.372 0.819
Zr: 0.628 0.628 0.181
Zr: 0.631 0.631 0.696
Zr: 0.873 0.873 0.561
Tl: 0.116 0.116 0.929
Tl: 0.884 0.884 0.071
H: 0.354 0.354 0.552
H: 0.646 0.646 0.448

Calculated values
Its density of states at the Fermi level is 4.95 states/eV/f.u.

***

2.
Material: Rb2Cd
Method: DFT, GGA-PBE
State: relaxed

a b c (Å): 8.170 8.170 10.943
angles (deg): 116.79 116.79 34.86
Element x y z (fractional)
Rb: 0.002 0.002 0.313
Rb: 0.315 0.315 0.848
Rb: 0.685 0.685 0.152
Rb: 0.998 0.998 0.687
Cd: 0.289 0.289 0.465
Cd: 0.711 0.711 0.535

Calculated values
The calculation puts the distance to the lowest polymorph of the same formula at 34 meV per atom. The value obtained for the formation energy is -7 meV/atom. Its density of states at the Fermi level is 2.16 states/eV/f.u.

***

3.
Material: PmY2ThS4
Method: DFT, GGA-PBE
State: relaxed

a b c (Å): 6.864 3.942 6.961
angles (deg): 90.00 109.07 90.00
Element x y z (fractional)
Pm: 0.000 0.000 0.000
Y: 0.000 0.500 0.500
Y: 0.500 0.000 0.500
Th: 0.500 0.500 0.000
S: 0.245 0.000 0.738
S: 0.253 0.500 0.262
S: 0.747 0.500 0.738
S: 0.755 0.000 0.262

Calculated values
The formation energy (no corrections) comes out at -1.958 eV/atom. Its density of states at the Fermi level is 3.34 states/eV/f.u.

***

| no. | E (eV for the cell shown) |
| --- | --- |
| 1 | -64.22 |
| 2 | -5.74 |
| 3 | -57.28 |